*i*
Below is a PBEsol-optimized structure of YScCr, with properties calculated at the meta-GGA SCAN level.

Unit cell a=4.7308 b=4.7308 c=4.7308 alpha=60.00 beta=60.00 gamma=60.00
Fractional positions:
Y: 0.0000 0.0000 0.0000
Sc: 0.2500 0.2500 0.2500
Cr: 0.5000 0.5000 0.5000

Properties
Fermi-level density of states   3.49 states/eV per cell

---

*ii*
Below is a PBEsol-optimized structure of YScCr, with properties calculated at the meta-GGA SCAN level.

Unit cell a=6.3275 b=6.3275 c=6.3275 alpha=149.52 beta=149.52 gamma=43.65
Fractional positions:
Y: 0.0000 0.0000 0.0000
Sc: 0.2765 0.2765 0.0000
Cr: 0.6510 0.6510 0.0000

Properties
Fermi-level density of states   3.64 states/eV per cell

---

Preferred: *ii*; penalty for the next structure: 0.721 eV/atom.

---

*i*
Below is a PBEsol-optimized structure of RuRh2Au, with properties calculated at the meta-GGA SCAN level.

Unit cell a=2.7078 b=2.7078 c=7.7610 alpha=90.00 beta=90.00 gamma=90.00
Fractional positions:
Ru: 0.0000 0.0000 0.0000
Rh: 0.0000 0.0000 0.5301
Rh: 0.5000 0.5000 0.7713
Au: 0.5000 0.5000 0.2652

Properties
Fermi-level density of states   4.58 states/eV per cell

---

*ii*
Below is a PBEsol-optimized structure of RuRh2Au, with properties calculated at the meta-GGA SCAN level.

Unit cell a=9.0595 b=9.0595 c=9.0595 alpha=17.26 beta=17.26 gamma=17.26
Fractional positions:
Ru: 0.0000 0.0000 0.0000
Rh: 0.2550 0.2550 0.2550
Rh: 0.7450 0.7450 0.7450
Au: 0.5000 0.5000 0.5000

Properties
Fermi-level density of states   4.15 states/eV per cell

---

Preferred: *ii*; penalty for the next structure: 0.084 eV/atom.

---

*i*
Below is a PBEsol-optimized structure of Os2Ru, with properties calculated at the meta-GGA SCAN level.

Unit cell a=4.7017 b=4.7017 c=4.2947 alpha=90.00 beta=90.00 gamma=60.04
Fractional positions:
Os: 0.9997 0.3329 0.2500
Os: 0.0003 0.6671 0.7500
Os: 0.3329 0.9997 0.7500
Os: 0.6671 0.0003 0.2500
Ru: 0.3340 0.6660 0.2500
Ru: 0.6660 0.3340 0.7500

Properties
Fermi-level density of states   3.63 states/eV per cell

---

*ii*
Below is a PBEsol-optimized structure of Os2Ru, with properties calculated at the meta-GGA SCAN level.

Unit cell a=3.3284 b=3.3284 c=5.0310 alpha=90.00 beta=90.00 gamma=120.00
Fractional positions:
Os: 0.3333 0.6667 0.1425
Os: 0.6667 0.3333 0.8575
Ru: 0.0000 0.0000 0.5000

Properties
Fermi-level density of states   2.49 states/eV per cell

---

Preferred: *i*; penalty for the next structure: 1.418 eV/atom.

---

*i*
Below is a PBEsol-optimized structure of BaTcPS2, with properties calculated at the meta-GGA SCAN level.

Unit cell a=5.4946 b=5.4946 c=5.4991 alpha=90.00 beta=90.00 gamma=90.00
Fractional positions:
Ba: 0.0000 0.0000 0.0000
Tc: 0.5000 0.5000 0.5000
P: 0.0000 0.0000 0.5000
S: 0.0000 0.5000 0.0000
S: 0.5000 0.0000 0.0000

Properties
Fermi-level density of states   4.09 states/eV per cell

---

*ii*
Below is a PBEsol-optimized structure of BaTcPS2, with properties calculated at the meta-GGA SCAN level.

Unit cell a=4.8522 b=4.8522 c=4.4947 alpha=90.00 beta=90.00 gamma=90.00
Fractional positions:
Ba: 0.0000 0.0000 0.0000
Tc: 0.5000 0.5000 0.5000
P: 0.5000 0.5000 0.0000
S: 0.0000 0.5000 0.5000
S: 0.5000 0.0000 0.5000

Properties
Fermi-level density of states   2.73 states/eV per cell

---

Preferred: *ii*; penalty for the next structure: 2.191 eV/atom.

---

*i*
Below is a PBEsol-optimized structure of TcIrRh2, with properties calculated at the meta-GGA SCAN level.

Unit cell a=4.6673 b=4.6673 c=2.6726 alpha=90.00 beta=90.00 gamma=110.22
Fractional positions:
Tc: 0.0000 0.0000 0.0000
Ir: 0.5000 0.5000 0.0000
Rh: 0.0000 0.5000 0.5000
Rh: 0.5000 0.0000 0.5000

Properties
Fermi-level density of states   2.92 states/eV per cell

---

*ii*
Below is a PBEsol-optimized structure of TcIrRh2, with properties calculated at the meta-GGA SCAN level.

Unit cell a=2.6811 b=2.6811 c=7.6190 alpha=90.00 beta=90.00 gamma=90.00
Fractional positions:
Tc: 0.0000 0.0000 0.0000
Ir: 0.5000 0.5000 0.2484
Rh: 0.0000 0.0000 0.5008
Rh: 0.5000 0.5000 0.7548

Properties
Fermi-level density of states   3.93 states/eV per cell

---

Preferred: *ii*; penalty for the next structure: 0.044 eV/atom.

---

*i*
Below is a PBEsol-optimized structure of AlZnCd, with properties calculated at the meta-GGA SCAN level.

Unit cell a=4.3327 b=4.3327 c=4.3327 alpha=60.00 beta=60.00 gamma=60.00
Fractional positions:
Al: 0.0000 0.0000 0.0000
Zn: 0.7500 0.7500 0.7500
Cd: 0.5000 0.5000 0.5000

Properties
Fermi-level density of states   0.89 states/eV per cell

---

*ii*
Below is a PBEsol-optimized structure of AlZnCd, with properties calculated at the meta-GGA SCAN level.

Unit cell a=8.0758 b=7.7896 c=2.8891 alpha=85.15 beta=73.97 gamma=20.88
Fractional positions:
Al: 0.0000 0.0000 0.0000
Zn: 0.3466 0.3466 0.6534
Cd: 0.6789 0.6789 0.3211

Properties
Fermi-level density of states   1.04 states/eV per cell

---

Preferred: *i*; penalty for the next structure: 0.072 eV/atom.